1.
First-principles (GGA-PBE) data for a relaxed TlCdIr2 crystal, as listed in the Alexandria database.

```
TlCdIr2
1.0
-0.1401 -6.7352 3.3896
4.5917 -2.7652 -5.3049
4.4145 -4.0310 0.5619
Tl Ir Cd
2 4 2
Cartesian
0.0000 0.0000 0.0000
3.2501 -7.7582 1.4969
1.5899 -5.5720 1.6004
3.9561 -3.5689 -2.7560
4.9741 -6.5822 -0.2897
7.2122 -11.3399 -1.2616
2.2258 -4.7502 -0.9577
5.6160 -5.7732 -2.8503
```

Calculated values
DFT total energy: -4.4380 eV per atom

=====

2.
First-principles (GGA-PBE) data for a relaxed TlCd2Ir crystal, as listed in the Alexandria database.

```
TlCd2Ir
1.0
-1.5867 0.2175 6.7189
-2.9981 -2.2819 5.7890
3.0205 -2.6084 2.4267
Tl Ir Cd
1 1 2
Cartesian
-0.3911 -1.1682 3.7337
-1.1732 -3.5046 11.2010
2.5783 -2.5763 3.0114
-0.3399 -2.3686 6.8826
```

Calculated values
Energy above the most stable polymorph in this dataset: 0.01 eV per formula unit
DFT total energy: -3.1137 eV per atom

=====

3.
First-principles (GGA-PBE) data for a relaxed TlCd2Ir crystal, as listed in the Alexandria database.

```
TlCd2Ir
1.0
9.7937 -0.1484 -0.0870
9.3246 2.9986 -0.0870
9.3246 1.3901 2.6583
Tl Ir Cd
1 1 2
Cartesian
21.3322 3.1803 1.8633
7.1107 1.0601 0.6211
28.1621 4.1985 2.4599
14.5022 2.1620 1.2667
```

Calculated values
Energy above the most stable polymorph in this dataset: 0.57 eV per formula unit
DFT total energy: -2.9726 eV per atom

=====

4.
First-principles (GGA-PBE) data for a relaxed TlCdIr crystal, as listed in the Alexandria database.

```
TlCdIr
1.0
-2.9901 2.6968 2.1969
-4.0107 -1.7083 1.4267
-0.7714 -0.6047 4.4809
Tl Ir Cd
1 1 1
Cartesian
0.0000 0.0000 0.0000
-5.8291 0.2878 6.0784
-3.8861 0.1919 4.0523
```

Calculated values
Energy above the most stable polymorph in this dataset: 0.00 eV per formula unit
DFT total energy: -3.7664 eV per atom

=====

5.
First-principles (GGA-PBE) data for a relaxed TlCdIr2 crystal, as listed in the Alexandria database.

```
TlCdIr2
1.0
4.8827 -0.0025 0.0000
-1.1093 4.7550 0.0000
0.0000 0.0000 3.0486
Tl Ir Cd
1 2 1
Cartesian
2.4413 -0.0013 1.5243
0.0000 0.0000 0.0000
1.8867 2.3762 0.0000
-0.5547 2.3775 1.5243
```

Calculated values
DFT total energy: -4.8058 eV per atom

=====

6.
First-principles (GGA-PBE) data for a relaxed TlCd3Ir crystal, as listed in the Alexandria database.

```
TlCd3Ir
1.0
5.2415 0.0000 0.0000
0.0000 5.2415 0.0000
0.0000 0.0000 5.2415
Tl Ir Cd
1 1 3
Cartesian
2.6208 2.6208 2.6208
0.0000 0.0000 0.0000
0.0000 2.6208 0.0000
0.0000 0.0000 2.6208
2.6208 0.0000 0.0000
```

Calculated values
Energy above the most stable polymorph in this dataset: 0.00 eV per formula unit
DFT total energy: -2.5931 eV per atom

=====

7.
First-principles (GGA-PBE) data for a relaxed Tl2CdIr crystal, as listed in the Alexandria database.

```
Tl2CdIr
1.0
-0.4882 -4.7002 -0.0712
3.1920 -0.3515 1.3153
-0.4998 -0.0336 5.6483
Tl Ir Cd
2 1 1
Cartesian
2.6156 -0.3718 6.6093
0.5313 -2.4620 2.0375
1.1230 -2.5686 5.0171
1.9723 -0.2605 3.6739
```

Calculated values
Energy above the most stable polymorph in this dataset: 0.71 eV per formula unit
DFT total energy: -3.2632 eV per atom

=====

8.
First-principles (GGA-PBE) data for a relaxed TlCd2Ir crystal, as listed in the Alexandria database.

```
TlCd2Ir
1.0
-0.9318 2.3070 4.8460
-0.3415 -0.8329 5.3725
4.5451 1.5479 4.1349
Tl Ir Cd
1 1 2
Cartesian
1.7893 2.1340 10.7203
2.3248 1.7614 7.8976
-1.1539 1.4968 10.2198
0.6743 0.6149 2.9110
```

Calculated values
Energy above the most stable polymorph in this dataset: 0.38 eV per formula unit
DFT total energy: -3.0209 eV per atom

=====

9.
First-principles (GGA-PBE) data for a relaxed TlCdIr2 crystal, as listed in the Alexandria database.

```
TlCdIr2
1.0
3.0078 0.0000 0.0000
0.0000 5.0900 0.0000
0.0000 0.0000 4.6956
Tl Ir Cd
1 2 1
Cartesian
1.5039 0.0000 2.3478
0.0000 0.0000 0.0000
1.5039 2.5450 0.0000
0.0000 2.5450 2.3478
```

Calculated values
DFT total energy: -4.7253 eV per atom

=====

10.
First-principles (GGA-PBE) data for a relaxed TlCdIr2 crystal, as listed in the Alexandria database.

```
TlCdIr2
1.0
9.0228 -0.0539 -0.0317
8.5216 2.9657 -0.0317
8.5216 1.4143 2.6069
Tl Ir Cd
1 2 1
Cartesian
6.5165 1.0815 0.6359
26.0514 4.3237 2.5421
13.0477 2.1655 1.2732
19.5496 3.2446 1.9077
```

Calculated values
DFT total energy: -4.7602 eV per atom

=====

11.
First-principles (GGA-PBE) data for a relaxed TlCd2Ir crystal, as listed in the Alexandria database.

```
TlCd2Ir
1.0
-1.0761 -2.9996 0.1371
2.7037 -1.0323 -1.3411
3.4923 -0.8993 7.7330
Tl Ir Cd
1 1 2
Cartesian
3.4331 -2.6904 5.1977
1.6869 -2.2408 1.3313
0.1850 -0.0476 0.4095
1.5612 -0.4020 3.4569
```

Calculated values
Energy above the most stable polymorph in this dataset: 0.11 eV per formula unit
DFT total energy: -3.0879 eV per atom

=====

12.
First-principles (GGA-PBE) data for a relaxed Tl2CdIr crystal, as listed in the Alexandria database.

```
Tl2CdIr
1.0
-6.9295 1.6492 1.3013
-6.0889 0.2461 3.9110
-0.1741 4.0904 2.2554
Tl Ir Cd
2 1 1
Cartesian
-12.2548 2.0247 5.0360
-9.8595 4.4953 5.5928
-3.2428 1.5060 1.8542
-7.4503 2.8479 3.9310
```

Calculated values
Energy above the most stable polymorph in this dataset: 0.17 eV per formula unit
DFT total energy: -3.3992 eV per atom

=====

Number 1: total magnetic moment 1.0 Bohr magnetons per cell, D(E_F) 4.5 states/eV/f.u.. Number 2: total magnetic moment 0.0 Bohr magnetons per cell, D(E_F) 1.2 states/eV/f.u.. Number 3: total magnetic moment 0.0 Bohr magnetons per cell, D(E_F) 3.5 states/eV/f.u.. Number 4: total magnetic moment 0.0 Bohr magnetons per cell, D(E_F) 1.5 states/eV/f.u.. Number 5: total magnetic moment 0.0 Bohr magnetons per cell, D(E_F) 3.3 states/eV/f.u.. Number 6: total magnetic moment 0.0 Bohr magnetons per cell, D(E_F) 1.7 states/eV/f.u.. Number 7: total magnetic moment 0.0 Bohr magnetons per cell, D(E_F) 1.4 states/eV/f.u.. Number 8: total magnetic moment 0.0 Bohr magnetons per cell, D(E_F) 2.1 states/eV/f.u.. Number 9: total magnetic moment 0.0 Bohr magnetons per cell, D(E_F) 2.7 states/eV/f.u.. Number 10: total magnetic moment 0.0 Bohr magnetons per cell, D(E_F) 3.4 states/eV/f.u.. Number 11: total magnetic moment 0.0 Bohr magnetons per cell, D(E_F) 1.6 states/eV/f.u.. Number 12: total magnetic moment 0.0 Bohr magnetons per cell, D(E_F) 1.9 states/eV/f.u..